[1]
Entry from Alexandria: NbMoO5 after structural relaxation (PBE with a Hubbard U).

Properties
* symmetry: Immm

Structure (CIF):
```
data_NbMoO5
_cell_length_a 3.7495
_cell_length_b 5.4168
_cell_length_c 5.4168
_cell_angle_alpha 73.66
_cell_angle_beta 69.75
_cell_angle_gamma 69.75
_space_group_name_H-M_alt 'P 1'
_space_group_IT_number 1
_space_group_name_Hall 'P 1'
loop_
_atom_site_label
_atom_site_type_symbol
_atom_site_fract_x
_atom_site_fract_y
_atom_site_fract_z
O1 O 0.5000 0.0000 0.0000
O2 O 0.7354 0.2646 0.2646
O3 O 0.2646 0.7354 0.7354
O4 O 0.0000 0.6890 0.3110
O5 O 0.0000 0.3110 0.6890
Nb1 Nb 0.0000 0.0000 0.0000
Mo1 Mo 0.5000 0.5000 0.5000
```


[2]
Entry from Alexandria: NbMoP2O after structural relaxation (PBE with a Hubbard U).

Properties
* symmetry: P4/mmm

Structure (CIF):
```
data_NbMoP2O
_cell_length_a 4.9568
_cell_length_b 4.9568
_cell_length_c 3.8588
_cell_angle_alpha 90.00
_cell_angle_beta 90.00
_cell_angle_gamma 90.00
_space_group_name_H-M_alt 'P 1'
_space_group_IT_number 1
_space_group_name_Hall 'P 1'
loop_
_atom_site_label
_atom_site_type_symbol
_atom_site_fract_x
_atom_site_fract_y
_atom_site_fract_z
P1 P 0.5000 0.0000 0.0000
P2 P 0.0000 0.5000 0.0000
O1 O 0.0000 0.0000 0.5000
Mo1 Mo 0.5000 0.5000 0.5000
Nb1 Nb 0.0000 0.0000 0.0000
```


[3]
Entry from Alexandria: NbMoPO2 after structural relaxation (PBE with a Hubbard U).

Properties
* symmetry: P4/mmm

Structure (CIF):
```
data_NbMoPO2
_cell_length_a 3.8442
_cell_length_b 3.8442
_cell_length_c 5.4617
_cell_angle_alpha 90.00
_cell_angle_beta 90.00
_cell_angle_gamma 90.00
_space_group_name_H-M_alt 'P 1'
_space_group_IT_number 1
_space_group_name_Hall 'P 1'
loop_
_atom_site_label
_atom_site_type_symbol
_atom_site_fract_x
_atom_site_fract_y
_atom_site_fract_z
O1 O 0.5000 0.0000 0.0000
O2 O 0.0000 0.5000 0.0000
P1 P 0.0000 0.0000 0.5000
Nb1 Nb 0.5000 0.5000 0.5000
Mo1 Mo 0.0000 0.0000 0.0000
```


We obtain size of the total moment values of 0.992; 3.427; 3.775 μB per cell for the records listed above, in that order.
We obtain theoretical density values of 4.69; 4.67; 5.18 g/cm3 for the records listed above, in that order.
We obtain total DFT energy (no corrections) values of -0.2909; -0.2483; -0.2557 hartree per atom for the records listed above, in that order.